[1]
Density functional theory data (GGA-PBE) for an optimized crystal structure of K2YW.

a b c (Å): 7.8141 7.8141 7.8141
angles (deg): 157.45 127.24 58.08
Element x y z (fractional)
1 K 0.0000 0.0000 0.0000
2 K 0.7078 0.2078 0.5000
3 Y 0.4014 0.4014 0.0000
4 W 0.2330 0.7330 0.5000

Calculated values
ΔE_f: 1.24 eV/atom
E_tot: -4.167 eV per atom
relative energy among the computed polymorphs: 289.0 meV per atom
volume: 144.9 Å³ per cell
SG: Imm2

[2]
Density functional theory data (GGA-PBE) for an optimized crystal structure of KYW2.

a b c (Å): 4.9342 4.9342 4.9342
angles (deg): 60.00 60.00 60.00
Element x y z (fractional)
1 K 0.0000 0.0000 0.0000
2 Y 0.2500 0.2500 0.2500
3 W 0.5000 0.5000 0.5000
4 W 0.7500 0.7500 0.7500

Calculated values
ΔE_f: 1.41 eV/atom
E_tot: -6.959 eV per atom
relative energy among the computed polymorphs: 736.8 meV per atom
volume: 84.9 Å³ per cell
SG: F-43m

[3]
Density functional theory data (GGA-PBE) for an optimized crystal structure of KYW2.

a b c (Å): 6.1124 6.1124 6.1124
angles (deg): 146.24 138.41 54.60
Element x y z (fractional)
1 K 0.0000 0.0000 0.0000
2 Y 0.5000 0.5000 0.0000
3 W 0.2546 0.7546 0.5000
4 W 0.7454 0.2454 0.5000

Calculated values
ΔE_f: 1.38 eV/atom
E_tot: -6.989 eV per atom
relative energy among the computed polymorphs: 706.5 meV per atom
volume: 83.7 Å³ per cell
SG: Immm

[4]
Density functional theory data (GGA-PBE) for an optimized crystal structure of KY2W.

a b c (Å): 3.5025 3.5025 10.8115
angles (deg): 90.00 90.00 90.00
Element x y z (fractional)
1 K 0.0000 0.0000 0.0000
2 Y 0.5000 0.5000 0.3400
3 Y 0.5000 0.5000 0.6600
4 W 0.0000 0.0000 0.5000

Calculated values
ΔE_f: 0.48 eV/atom
E_tot: -6.265 eV per atom
relative energy among the computed polymorphs: 0.0 meV per atom
volume: 132.6 Å³ per cell
SG: P4/mmm

[5]
Density functional theory data (GGA-PBE) for an optimized crystal structure of K2YW.

a b c (Å): 3.2702 3.2702 12.7555
angles (deg): 90.00 90.00 90.00
Element x y z (fractional)
1 K 0.0000 0.0000 0.0000
2 K 0.5000 0.5000 0.3301
3 Y 0.5000 0.5000 0.7081
4 W 0.0000 0.0000 0.5532

Calculated values
ΔE_f: 0.95 eV/atom
E_tot: -4.454 eV per atom
relative energy among the computed polymorphs: 1.4 meV per atom
volume: 136.4 Å³ per cell
SG: P4mm

[6]
Density functional theory data (GGA-PBE) for an optimized crystal structure of KY2W.

a b c (Å): 5.7796 5.7796 3.2728
angles (deg): 90.00 90.00 102.68
Element x y z (fractional)
1 K 0.0000 0.0000 0.0000
2 Y 0.0000 0.5000 0.5000
3 Y 0.5000 0.0000 0.5000
4 W 0.5000 0.5000 0.0000

Calculated values
ΔE_f: 1.09 eV/atom
E_tot: -5.652 eV per atom
relative energy among the computed polymorphs: 613.1 meV per atom
volume: 106.7 Å³ per cell
SG: Cmmm